(w)
Here is AcPRu after structural relaxation from the Alexandria database. Energies are from PBE-GGA.

Symmetry ... P2_1/c
Density ... 8.95 g/cm3

abc: 6.297 5.991 7.725
angles: 90.00 113.83 90.00
Element x y z (fractional)
Ac1 0.194 0.145 0.372
Ac2 0.194 0.355 0.872
Ac3 0.806 0.645 0.128
Ac4 0.806 0.855 0.628
P1 0.285 0.657 0.558
P2 0.285 0.843 0.058
P3 0.715 0.157 0.942
P4 0.715 0.343 0.442
Ru1 0.400 0.593 0.310
Ru2 0.400 0.907 0.810
Ru3 0.600 0.093 0.190
Ru4 0.600 0.407 0.690

(x)
Here is AcPRu after structural relaxation from the Alexandria database. Energies are from PBE-GGA.

Symmetry ... P4/nmm
Density ... 8.26 g/cm3

abc: 4.067 4.067 8.731
angles: 90.00 90.00 90.00
Element x y z (fractional)
Ac1 0.250 0.250 0.201
Ac2 0.750 0.750 0.799
P1 0.250 0.250 0.640
P2 0.750 0.750 0.360
Ru1 0.250 0.750 0.500
Ru2 0.750 0.250 0.500

(y)
Here is AcPRu after structural relaxation from the Alexandria database. Energies are from PBE-GGA.

Symmetry ... P-6m2
Density ... 8.88 g/cm3

abc: 4.132 4.132 4.540
angles: 90.00 90.00 120.00
Element x y z (fractional)
Ac1 0.000 0.000 0.000
P1 0.333 0.667 0.500
Ru1 0.667 0.333 0.500

Most stable one: (x), least stable one: (y).

(w)
Here is AcSbP after structural relaxation from the Alexandria database. Energies are from PBE-GGA.

Symmetry ... I4mm
Density ... 6.38 g/cm3

abc: 6.163 6.163 6.163
angles: 139.22 139.22 59.04
Element x y z (fractional)
Ac1 0.000 0.000 0.000
Sb1 0.324 0.324 0.000
P1 0.560 0.560 0.000

(x)
Here is AcSbP after structural relaxation from the Alexandria database. Energies are from PBE-GGA.

Symmetry ... P-6m2
Density ... 7.49 g/cm3

abc: 4.768 4.768 4.275
angles: 90.00 90.00 120.00
Element x y z (fractional)
Ac1 0.000 0.000 0.000
Sb1 0.667 0.333 0.500
P1 0.333 0.667 0.500

Most stable one: (w), least stable one: (x).

(w)
Here is AcScP2 after structural relaxation from the Alexandria database. Energies are from PBE-GGA.

Symmetry ... R-3m
Density ... 5.66 g/cm3

abc: 7.093 7.093 7.093
angles: 33.73 33.73 33.73
Element x y z (fractional)
Ac1 0.000 0.000 0.000
Sc1 0.500 0.500 0.500
P1 0.237 0.237 0.237
P2 0.763 0.763 0.763

(x)
Here is AcScP2 after structural relaxation from the Alexandria database. Energies are from PBE-GGA.

Symmetry ... R3m
Density ... 5.65 g/cm3

abc: 7.339 7.339 7.339
angles: 31.91 31.91 31.91
Element x y z (fractional)
Ac1 0.000 0.000 0.000
Sc1 0.172 0.172 0.172
P1 0.574 0.574 0.574
P2 0.766 0.766 0.766

Most stable one: (w), least stable one: (x).